## MgTlAs (GGA-PBE)

Data for MgTlAs after structural relaxation.

Cell: 4.4317 4.4317 4.9245 Å, 90.00 90.00 120.00°
Last column: nearest neighbours and their distance in Å.
Sites, in units of the cell vectors:
Tl: 0.3333 0.6667 0.6886  3 As 3.33, 6 Mg 3.55
Mg: 0.6667 0.3333 0.1896  3 As 2.58
As: 0.0000 0.0000 0.1218  3 Mg 2.58

Summary:
The value obtained for the raw total energy is -3.084 eV/atom. Its formation energy is -0.214 eV/atom. For the density of states at the Fermi level, the calculation gives 0.18 states/eV per atom. Its space group is P3m1, No. 156.